A plane-wave DFT calculation with PBE was carried out for crystalline Bi2Cl2F at its relaxed geometry.

a = 7.663 Å, b = 7.663 Å, c = 7.663 Å
α = 145.75°, β = 145.75°, γ = 49.22°
Element x y z (fractional)
Bi (0.250, 0.750, 0.500)
Bi (0.750, 0.250, 0.500)
Cl (0.104, 0.104, 0.000)
Cl (0.896, 0.896, 0.000)
F (0.500, 0.500, 0.000)

Computed properties:
E_tot	-2.848	eV per atom
space group	I4/mmm
relative energy among the computed polymorphs	226.4	meV/atom
E_form (uncorrected)	-0.183	eV per atom